Density functional theory data (PBE) for a geometry-optimized HgTeIr2 structure. Values from VASP.

Output
The calculation puts the raw formation energy at 0.69 eV per atom. The crystal system is orthorhombic. The calculation puts the density at 15.97 g cm⁻³.

The structure in Quantum ESPRESSO input format:
```
&SYSTEM
  ibrav = 0, nat = 4, ntyp = 3
/
ATOMIC_SPECIES
Ir 192.22 Ir.upf
Te 127.60 Te.upf
Hg 200.59 Hg.upf
CELL_PARAMETERS angstrom
3.0004 0.0008 0.0000
-1.5051 2.5956 0.0000
0.0000 0.0000 9.5107
ATOMIC_POSITIONS crystal
Ir 0.0000 0.0000 0.0022
Ir 0.0000 0.0000 0.4978
Te 0.5000 0.5000 0.2500
Hg 0.5000 0.5000 0.7500
```

***

Density functional theory data (PBE) for a geometry-optimized CaMgBe structure. Values from VASP.

Output
The crystal system is hexagonal. The value obtained for the energy of formation is 0.29 eV per atom. The calculation puts the density at 1.73 g cm⁻³.

The structure in Quantum ESPRESSO input format:
```
&SYSTEM
  ibrav = 0, nat = 3, ntyp = 3
/
ATOMIC_SPECIES
Be 9.01 Be.upf
Mg 24.30 Mg.upf
Ca 40.08 Ca.upf
CELL_PARAMETERS angstrom
-0.2645 -0.1607 -4.6067
-2.7594 -2.6688 2.5653
-2.6303 2.7718 0.0543
ATOMIC_POSITIONS crystal
Be 0.0000 0.0000 0.8336
Mg 0.3333 0.6667 0.8334
Ca 0.6667 0.3333 0.3330
```

***

Density functional theory data (PBE) for a geometry-optimized PmPuGaNi structure. Values from VASP.

Output
The crystal system is cubic. The value obtained for the energy of formation is -0.18 eV per atom. The calculation puts the density at 9.70 g cm⁻³.

The structure in Quantum ESPRESSO input format:
```
&SYSTEM
  ibrav = 0, nat = 4, ntyp = 4
/
ATOMIC_SPECIES
Pm 145.00 Pm.upf
Ni 58.69 Ni.upf
Pu 244.00 Pu.upf
Ga 69.72 Ga.upf
CELL_PARAMETERS angstrom
-0.9852 -4.8455 0.7632
1.4562 -3.4084 -3.3607
3.7159 -3.1658 1.0966
ATOMIC_POSITIONS crystal
Pm 0.5000 0.5000 0.5000
Ni 0.7500 0.7500 0.7500
Pu 0.0000 0.0000 0.0000
Ga 0.2500 0.2500 0.2500
```

***

Density functional theory data (PBE) for a geometry-optimized In2Ag2As structure. Values from VASP.

Output
The crystal system is tetragonal. The value obtained for the energy of formation is 0.13 eV per atom. The calculation puts the density at 7.64 g cm⁻³.

The structure in Quantum ESPRESSO input format:
```
&SYSTEM
  ibrav = 0, nat = 5, ntyp = 3
/
ATOMIC_SPECIES
In 114.82 In.upf
Ag 107.87 Ag.upf
As 74.92 As.upf
CELL_PARAMETERS angstrom
3.8490 0.0000 0.0000
0.0000 3.8490 0.0000
1.9245 1.9245 7.6303
ATOMIC_POSITIONS crystal
In 0.4026 0.4026 0.1947
In 0.5974 0.5974 0.8053
Ag 0.7500 0.2500 0.5000
Ag 0.2500 0.7500 0.5000
As 0.0000 0.0000 0.0000
```

***

Density functional theory data (PBE) for a geometry-optimized YCdRh structure. Values from VASP.

Output
The crystal system is cubic. The value obtained for the energy of formation is 0.10 eV per atom. The calculation puts the density at 6.67 g cm⁻³.

The structure in Quantum ESPRESSO input format:
```
&SYSTEM
  ibrav = 0, nat = 3, ntyp = 3
/
ATOMIC_SPECIES
Cd 112.41 Cd.upf
Y 88.91 Y.upf
Rh 102.91 Rh.upf
CELL_PARAMETERS angstrom
4.7494 0.0000 0.0000
2.3747 4.1131 0.0000
2.3747 1.3710 3.8778
ATOMIC_POSITIONS crystal
Cd 0.0000 0.0000 0.0000
Y 0.7500 0.7500 0.7500
Rh 0.5000 0.5000 0.5000
```

***

Density functional theory data (PBE) for a geometry-optimized TbDy3YTm structure. Values from VASP.

Output
The crystal system is monoclinic. The value obtained for the energy of formation is 0.22 eV per atom. The calculation puts the density at 7.81 g cm⁻³.

The structure in Quantum ESPRESSO input format:
```
&SYSTEM
  ibrav = 0, nat = 12, ntyp = 4
/
ATOMIC_SPECIES
Dy 162.50 Dy.upf
Tm 168.93 Tm.upf
Y 88.91 Y.upf
Tb 158.93 Tb.upf
CELL_PARAMETERS angstrom
5.6926 0.0000 0.0000
-2.8463 9.5611 1.5839
0.0000 -1.1921 6.8689
ATOMIC_POSITIONS crystal
Dy 0.2178 0.4355 0.2486
Dy 0.1641 0.3282 0.7395
Dy 0.7822 0.5645 0.7514
Dy 0.8359 0.6718 0.2605
Dy 0.5196 0.0392 0.7432
Dy 0.4804 0.9608 0.2568
Tm 0.6487 0.2973 0.4655
Tm 0.3513 0.7027 0.5345
Y 0.3527 0.7054 0.9711
Y 0.6473 0.2946 0.0289
Tb 0.0520 0.1040 0.2592
Tb 0.9480 0.8960 0.7408
```

***

Density functional theory data (PBE) for a geometry-optimized Tl3Re structure. Values from VASP.

Output
The crystal system is hexagonal. The value obtained for the energy of formation is 1.09 eV per atom. The calculation puts the density at 13.99 g cm⁻³.

The structure in Quantum ESPRESSO input format:
```
&SYSTEM
  ibrav = 0, nat = 8, ntyp = 2
/
ATOMIC_SPECIES
Tl 204.38 Tl.upf
Re 186.21 Re.upf
CELL_PARAMETERS angstrom
3.1098 -5.3863 0.0000
3.1098 5.3863 0.0000
0.0000 0.0000 5.6646
ATOMIC_POSITIONS crystal
Tl 0.3403 0.1701 0.2500
Tl 0.1701 0.3403 0.7500
Tl 0.6597 0.8299 0.7500
Tl 0.8299 0.6597 0.2500
Tl 0.1701 0.8299 0.7500
Tl 0.8299 0.1701 0.2500
Re 0.3333 0.6667 0.2500
Re 0.6667 0.3333 0.7500
```